A plane-wave DFT calculation with PBE was carried out for Sr2InCu2 after structural relaxation.

CIF file:
```
data_Sr2InCu2
_chemical_formula_sum 'Sr2 In1 Cu2'
_cell_length_a 3.6157
_cell_length_b 3.6157
_cell_length_c 10.1808
_cell_angle_alpha 100.14
_cell_angle_beta 100.14
_cell_angle_gamma 90.00
_symmetry_space_group_name_H-M 'P 1'
_symmetry_Int_Tables_number 1
loop_
_symmetry_equiv_pos_as_xyz
'x,y,z'
loop_
_atom_site_label
_atom_site_type_symbol
_atom_site_fract_x
_atom_site_fract_y
_atom_site_fract_z
Sr1 Sr 0.0000 0.0000 0.0000
Sr2 Sr 0.2336 0.2336 0.4758
In1 In 0.6154 0.6154 0.2379
Cu1 Cu 0.3648 0.8640 0.7378
Cu2 Cu 0.8640 0.3648 0.7378
```

Calculated values
SG ... Cm (8)



A plane-wave DFT calculation with PBE was carried out for KScPd after structural relaxation.

CIF file:
```
data_KScPd
_chemical_formula_sum 'K1 Sc1 Pd1'
_cell_length_a 4.8915
_cell_length_b 4.8915
_cell_length_c 4.8915
_cell_angle_alpha 60.00
_cell_angle_beta 60.00
_cell_angle_gamma 60.00
_symmetry_space_group_name_H-M 'P 1'
_symmetry_Int_Tables_number 1
loop_
_symmetry_equiv_pos_as_xyz
'x,y,z'
loop_
_atom_site_label
_atom_site_type_symbol
_atom_site_fract_x
_atom_site_fract_y
_atom_site_fract_z
K1 K 0.0000 0.0000 0.0000
Sc1 Sc 0.5000 0.5000 0.5000
Pd1 Pd 0.2500 0.2500 0.2500
```

Calculated values
SG ... F-43m (216)
Magnetic moment ... 0.000 μB per atom



A plane-wave DFT calculation with PBE was carried out for MgCu2Ge after structural relaxation.

CIF file:
```
data_MgCu2Ge
_chemical_formula_sum 'Mg4 Cu8 Ge4'
_cell_length_a 6.2099
_cell_length_b 6.2099
_cell_length_c 6.2099
_cell_angle_alpha 90.00
_cell_angle_beta 90.00
_cell_angle_gamma 90.00
_symmetry_space_group_name_H-M 'P 1'
_symmetry_Int_Tables_number 1
loop_
_symmetry_equiv_pos_as_xyz
'x,y,z'
loop_
_atom_site_label
_atom_site_type_symbol
_atom_site_fract_x
_atom_site_fract_y
_atom_site_fract_z
Mg1 Mg 0.0000 0.0000 0.0000
Mg2 Mg 0.0000 0.0000 0.5000
Mg3 Mg 0.0000 0.5000 0.0000
Mg4 Mg 0.5000 0.0000 0.0000
Cu1 Cu 0.2552 0.2552 0.2552
Cu2 Cu 0.2552 0.2552 0.7448
Cu3 Cu 0.2552 0.7448 0.2552
Cu4 Cu 0.2552 0.7448 0.7448
Cu5 Cu 0.7448 0.2552 0.2552
Cu6 Cu 0.7448 0.2552 0.7448
Cu7 Cu 0.7448 0.7448 0.2552
Cu8 Cu 0.7448 0.7448 0.7448
Ge1 Ge 0.0000 0.5000 0.5000
Ge2 Ge 0.5000 0.0000 0.5000
Ge3 Ge 0.5000 0.5000 0.0000
Ge4 Ge 0.5000 0.5000 0.5000
```

Calculated values
SG ... Pm-3m (221)



A plane-wave DFT calculation with PBE was carried out for AlNi2Au after structural relaxation.

CIF file:
```
data_AlNi2Au
_chemical_formula_sum 'Al1 Ni2 Au1'
_cell_length_a 4.2169
_cell_length_b 4.2169
_cell_length_c 4.2169
_cell_angle_alpha 60.00
_cell_angle_beta 60.00
_cell_angle_gamma 60.00
_symmetry_space_group_name_H-M 'P 1'
_symmetry_Int_Tables_number 1
loop_
_symmetry_equiv_pos_as_xyz
'x,y,z'
loop_
_atom_site_label
_atom_site_type_symbol
_atom_site_fract_x
_atom_site_fract_y
_atom_site_fract_z
Al1 Al 0.0000 0.0000 0.0000
Ni1 Ni 0.5000 0.5000 0.5000
Ni2 Ni 0.7500 0.7500 0.7500
Au1 Au 0.2500 0.2500 0.2500
```

Calculated values
SG ... F-43m (216)
Magnetic moment ... 0.003 μB per atom



A plane-wave DFT calculation with PBE was carried out for ErOsNO after structural relaxation.

CIF file:
```
data_ErOsNO
_chemical_formula_sum 'Er2 Os2 N2 O2'
_cell_length_a 3.4930
_cell_length_b 5.9752
_cell_length_c 4.8511
_cell_angle_alpha 90.00
_cell_angle_beta 90.00
_cell_angle_gamma 90.00
_symmetry_space_group_name_H-M 'P 1'
_symmetry_Int_Tables_number 1
loop_
_symmetry_equiv_pos_as_xyz
'x,y,z'
loop_
_atom_site_label
_atom_site_type_symbol
_atom_site_fract_x
_atom_site_fract_y
_atom_site_fract_z
Er1 Er 0.0000 0.1577 0.0000
Er2 Er 0.0000 0.8423 0.5000
Os1 Os 0.5000 0.3964 0.5100
Os2 Os 0.5000 0.6036 0.0100
N1 N 0.0000 0.2763 0.4682
N2 N 0.0000 0.7237 0.9682
O1 O 0.5000 0.0589 0.7391
O2 O 0.5000 0.9411 0.2391
```

Calculated values
SG ... Pmc2_1 (26)
Magnetic moment ... 0.001 μB per atom



A plane-wave DFT calculation with PBE was carried out for CuAgBiAu after structural relaxation.

CIF file:
```
data_CuAgBiAu
_chemical_formula_sum 'Cu1 Ag1 Bi1 Au1'
_cell_length_a 4.8029
_cell_length_b 4.8029
_cell_length_c 4.8029
_cell_angle_alpha 60.00
_cell_angle_beta 60.00
_cell_angle_gamma 60.00
_symmetry_space_group_name_H-M 'P 1'
_symmetry_Int_Tables_number 1
loop_
_symmetry_equiv_pos_as_xyz
'x,y,z'
loop_
_atom_site_label
_atom_site_type_symbol
_atom_site_fract_x
_atom_site_fract_y
_atom_site_fract_z
Cu1 Cu 0.0000 0.0000 0.0000
Ag1 Ag 0.5000 0.5000 0.5000
Bi1 Bi 0.7500 0.7500 0.7500
Au1 Au 0.2500 0.2500 0.2500
```

Calculated values
SG ... F-43m (216)



A plane-wave DFT calculation with PBE was carried out for Nd2ErGe3PdPt2 after structural relaxation.

CIF file:
```
data_Nd2ErGe3PdPt2
_chemical_formula_sum 'Nd2 Er1 Ge3 Pd1 Pt2'
_cell_length_a 3.9847
_cell_length_b 7.3163
_cell_length_c 7.3163
_cell_angle_alpha 119.64
_cell_angle_beta 90.00
_cell_angle_gamma 90.00
_symmetry_space_group_name_H-M 'P 1'
_symmetry_Int_Tables_number 1
loop_
_symmetry_equiv_pos_as_xyz
'x,y,z'
loop_
_atom_site_label
_atom_site_type_symbol
_atom_site_fract_x
_atom_site_fract_y
_atom_site_fract_z
Nd1 Nd 0.0000 0.2045 0.7955
Nd2 Nd 0.0000 0.7955 0.2045
Er1 Er 0.0000 0.3884 0.3884
Ge1 Ge 0.5000 0.0472 0.0472
Ge2 Ge 0.5000 0.5425 0.7904
Ge3 Ge 0.5000 0.7904 0.5425
Pd1 Pd 0.0000 0.7858 0.7858
Pt1 Pt 0.5000 0.1392 0.4579
Pt2 Pt 0.5000 0.4579 0.1392
```

Calculated values
SG ... Amm2 (38)
Magnetic moment ... 0.000 μB per atom



A plane-wave DFT calculation with PBE was carried out for Sc2Ta4Ni3C3 after structural relaxation.

CIF file:
```
data_Sc2Ta4Ni3C3
_chemical_formula_sum 'Sc4 Ta8 Ni6 C6'
_cell_length_a 5.4053
_cell_length_b 5.4053
_cell_length_c 13.5819
_cell_angle_alpha 101.99
_cell_angle_beta 101.99
_cell_angle_gamma 60.01
_symmetry_space_group_name_H-M 'P 1'
_symmetry_Int_Tables_number 1
loop_
_symmetry_equiv_pos_as_xyz
'x,y,z'
loop_
_atom_site_label
_atom_site_type_symbol
_atom_site_fract_x
_atom_site_fract_y
_atom_site_fract_z
Sc1 Sc 0.0409 0.8785 0.6178
Sc2 Sc 0.1215 0.9591 0.8822
Sc3 Sc 0.8785 0.0409 0.1178
Sc4 Sc 0.9591 0.1215 0.3822
Ta1 Ta 0.1960 0.3570 0.0892
Ta2 Ta 0.2953 0.4777 0.4105
Ta3 Ta 0.3570 0.1960 0.5892
Ta4 Ta 0.4777 0.2953 0.9105
Ta5 Ta 0.5223 0.7047 0.0895
Ta6 Ta 0.6430 0.8040 0.4108
Ta7 Ta 0.7047 0.5223 0.5895
Ta8 Ta 0.8040 0.6430 0.9108
Ni1 Ni 0.0868 0.3994 0.7500
Ni2 Ni 0.3994 0.0868 0.2500
Ni3 Ni 0.4229 0.5771 0.2500
Ni4 Ni 0.5771 0.4229 0.7500
Ni5 Ni 0.6006 0.9132 0.7500
Ni6 Ni 0.9132 0.6006 0.2500
C1 C 0.0000 0.5000 0.5000
C2 C 0.1681 0.6636 0.0000
C3 C 0.3364 0.8319 0.5000
C4 C 0.5000 0.0000 0.0000
C5 C 0.6636 0.1681 0.5000
C6 C 0.8319 0.3364 0.0000
```

Calculated values
SG ... C2/c (15)
Magnetic moment ... 0.001 μB per atom



A plane-wave DFT calculation with PBE was carried out for Dy2Y3Lu2Ni2Te2 after structural relaxation.

CIF file:
```
data_Dy2Y3Lu2Ni2Te2
_chemical_formula_sum 'Dy2 Y3 Lu2 Ni2 Te2'
_cell_length_a 9.3058
_cell_length_b 9.3058
_cell_length_c 9.3058
_cell_angle_alpha 156.24
_cell_angle_beta 66.92
_cell_angle_gamma 118.48
_symmetry_space_group_name_H-M 'P 1'
_symmetry_Int_Tables_number 1
loop_
_symmetry_equiv_pos_as_xyz
'x,y,z'
loop_
_atom_site_label
_atom_site_type_symbol
_atom_site_fract_x
_atom_site_fract_y
_atom_site_fract_z
Dy1 Dy 0.1863 0.0000 0.1863
Dy2 Dy 0.8137 0.0000 0.8137
Y1 Y 0.1683 0.7993 0.3690
Y2 Y 0.4303 0.7993 0.6310
Y3 Y 0.8796 0.3796 0.5000
Lu1 Lu 0.5047 0.6520 0.8527
Lu2 Lu 0.7993 0.6520 0.1473
Ni1 Ni 0.0420 0.3067 0.7353
Ni2 Ni 0.5714 0.3067 0.2647
Te1 Te 0.1445 0.1445 0.0000
Te2 Te 0.5468 0.0468 0.5000
```

Calculated values
SG ... Imm2 (44)
Magnetic moment ... 0.002 μB per atom



A plane-wave DFT calculation with PBE was carried out for Rb2CuAuS2 after structural relaxation.

CIF file:
```
data_Rb2CuAuS2
_chemical_formula_sum 'Rb2 Cu1 Au1 S2'
_cell_length_a 7.7740
_cell_length_b 7.7740
_cell_length_c 5.2843
_cell_angle_alpha 91.68
_cell_angle_beta 91.68
_cell_angle_gamma 37.55
_symmetry_space_group_name_H-M 'P 1'
_symmetry_Int_Tables_number 1
loop_
_symmetry_equiv_pos_as_xyz
'x,y,z'
loop_
_atom_site_label
_atom_site_type_symbol
_atom_site_fract_x
_atom_site_fract_y
_atom_site_fract_z
Rb1 Rb 0.1504 0.1504 0.2492
Rb2 Rb 0.8496 0.8496 0.7508
Cu1 Cu 0.5000 0.5000 0.5000
Au1 Au 0.5000 0.5000 0.0000
S1 S 0.3751 0.3751 0.2694
S2 S 0.6249 0.6249 0.7306
```

Calculated values
SG ... C2/m (12)



A plane-wave DFT calculation with PBE was carried out for Pr3Ni2 after structural relaxation.

CIF file:
```
data_Pr3Ni2
_chemical_formula_sum 'Pr6 Ni4'
_cell_length_a 7.5137
_cell_length_b 7.5137
_cell_length_c 7.5137
_cell_angle_alpha 54.96
_cell_angle_beta 54.96
_cell_angle_gamma 54.96
_symmetry_space_group_name_H-M 'P 1'
_symmetry_Int_Tables_number 1
loop_
_symmetry_equiv_pos_as_xyz
'x,y,z'
loop_
_atom_site_label
_atom_site_type_symbol
_atom_site_fract_x
_atom_site_fract_y
_atom_site_fract_z
Pr1 Pr 0.1256 0.7500 0.3744
Pr2 Pr 0.2500 0.6256 0.8744
Pr3 Pr 0.3744 0.1256 0.7500
Pr4 Pr 0.6256 0.8744 0.2500
Pr5 Pr 0.7500 0.3744 0.1256
Pr6 Pr 0.8744 0.2500 0.6256
Ni1 Ni 0.1859 0.1859 0.1859
Ni2 Ni 0.3141 0.3141 0.3141
Ni3 Ni 0.6859 0.6859 0.6859
Ni4 Ni 0.8141 0.8141 0.8141
```

Calculated values
SG ... R-3c (167)
Magnetic moment ... 0.000 μB per atom
DFT formation energy ... -0.18 eV/atom



A plane-wave DFT calculation with PBE was carried out for Re2BIr after structural relaxation.

CIF file:
```
data_Re2BIr
_chemical_formula_sum 'Re2 B1 Ir1'
_cell_length_a 4.2227
_cell_length_b 4.2227
_cell_length_c 4.2227
_cell_angle_alpha 60.00
_cell_angle_beta 60.00
_cell_angle_gamma 60.00
_symmetry_space_group_name_H-M 'P 1'
_symmetry_Int_Tables_number 1
loop_
_symmetry_equiv_pos_as_xyz
'x,y,z'
loop_
_atom_site_label
_atom_site_type_symbol
_atom_site_fract_x
_atom_site_fract_y
_atom_site_fract_z
Re1 Re 0.0000 0.0000 0.0000
Re2 Re 0.2500 0.2500 0.2500
B1 B 0.5000 0.5000 0.5000
Ir1 Ir 0.7500 0.7500 0.7500
```

Calculated values
SG ... F-43m (216)
Magnetic moment ... 0.006 μB per atom



Record order is preserved below.
Uncorrected energy: -2.77, -3.97, -3.40, -4.81, -8.39, -3.30, -6.00, -9.19, -5.68, -3.62, -5.27, -9.37 eV/atom